Record 1
## Co5P3 (GGA-PBE)

Data for a relaxed Co5P3 crystal.

Results
The calculation puts the energy above the most stable polymorph in this dataset at 182 meV per atom. The formation energy comes out at -0.291 eV per atom. The calculation puts the electronic total energy at -108.2 eV/cell.

a b c (Å): 6.1573 8.0695 3.5205
angles (deg): 90.00 90.00 90.00
Space group Cmmm (No. 65)
Asymmetric unit:
1 Co 0.0000 0.0000 0.0000 (multiplicity 2)
2 Co 0.2083 0.5000 0.5000 (multiplicity 4)
3 Co 0.2500 0.2500 0.0000 (multiplicity 4)
4 P 0.0000 0.1773 0.5000 (multiplicity 4)
5 P 0.0000 0.5000 0.0000 (multiplicity 2)

=====

Record 2
## Fe2CuRu (GGA-PBE)

Data for a relaxed Fe2CuRu crystal.

Results
The calculation puts the energy above the most stable polymorph in this dataset at 47 meV per atom. The formation energy comes out at 0.211 eV per atom. The calculation puts the electronic total energy at -58.9 eV/cell.

a b c (Å): 2.9391 4.1602 8.2795
angles (deg): 90.00 90.00 90.00
Space group Cmm2 (No. 35)
Asymmetric unit:
1 Fe 0.0000 0.0000 0.0000 (multiplicity 2)
2 Fe 0.0000 0.5000 0.2363 (multiplicity 2)
3 Cu 0.0000 0.5000 0.7544 (multiplicity 2)
4 Ru 0.0000 0.0000 0.4890 (multiplicity 2)

=====

Record 3
## LiHo2Rh (GGA-PBE)

Data for a relaxed LiHo2Rh crystal.

Results
The formation energy comes out at -0.504 eV per atom. The calculation puts the electronic total energy at -81.8 eV/cell.

a b c (Å): 6.9440 6.9440 6.9440
angles (deg): 90.00 90.00 90.00
Space group Fm-3m (No. 225)
Asymmetric unit:
1 Li 0.0000 0.0000 0.0000 (multiplicity 4)
2 Ho 0.2500 0.2500 0.2500 (multiplicity 8)
3 Rh 0.0000 0.0000 0.5000 (multiplicity 4)

=====

Record 4
## NdZrTaN3 (GGA-PBE)

Data for a relaxed NdZrTaN3 crystal.

Results
Its energy relative to the elements, uncorrected is -1.418 eV per atom. The calculation puts the electronic total energy at -117.3 eV/cell.

a b c (Å): 5.7514 3.3203 8.5187
angles (deg): 90.00 103.05 90.00
Space group P2_1/m (No. 11)
Asymmetric unit:
1 Nd 0.1483 0.2500 0.1903 (multiplicity 2)
2 Zr 0.2666 0.7500 0.5469 (multiplicity 2)
3 Ta 0.3741 0.2500 0.8617 (multiplicity 2)
4 N 0.0646 0.2500 0.6601 (multiplicity 2)
5 N 0.2605 0.7500 0.9855 (multiplicity 2)
6 N 0.4635 0.7500 0.3433 (multiplicity 2)

=====

Which formula does entry 2 have?
Fe2CuRu